A geometry-optimized Zn2SO structure. Source: OQMD, functional PBE-GGA.

Cell and atoms, written as POSCAR:
```
Zn2SO
1.0
-3.263 0.973 -0.658
1.596 -2.250 -2.103
-3.799 -8.522 6.233
S O Zn
2 2 4
Cartesian
-2.021 -0.947 -0.521 S
-2.300 -6.283 2.115 S
-1.232 -2.764 2.022 O
-3.132 -7.025 5.138 O
-1.890 -4.239 3.100 Zn
-1.037 -3.448 0.041 Zn
-3.789 -8.500 6.217 Zn
-4.556 -6.635 3.639 Zn
```

Crystal system: hexagonal
Polymorph energy (0 for the lowest one) (eV per atom): 0.156
Symmetry: No. 186

=====

A geometry-optimized Zn2N4ClF structure. Source: OQMD, functional PBE-GGA.

Cell and atoms, written as POSCAR:
```
Zn2N4ClF
1.0
-2.155 2.155 4.878
2.155 -2.155 4.878
2.155 2.155 -4.878
N Cl Zn F
4 1 2 1
Cartesian
1.449 1.062 1.560 N
1.062 2.861 -1.560 N
0.706 1.093 6.438 N
1.093 -0.706 3.318 N
2.155 0.000 2.439 Cl
0.000 2.155 2.439 Zn
0.000 0.000 4.878 Zn
0.000 0.000 0.000 F
```

Crystal system: tetragonal
Symmetry: No. 82

=====

A geometry-optimized SmBNO structure. Source: OQMD, functional PBE-GGA.

Cell and atoms, written as POSCAR:
```
SmBNO
1.0
4.974 0.000 0.000
0.000 7.846 0.000
0.000 0.000 4.579
O N B Sm
4 4 4 4
Cartesian
0.017 2.957 2.857 O
2.504 4.890 2.857 O
4.957 4.890 0.567 O
2.470 2.957 0.567 O
3.087 7.843 2.583 N
0.600 0.003 2.583 N
4.374 7.843 0.294 N
1.887 0.003 0.294 N
4.339 0.040 1.791 B
1.852 7.806 1.791 B
0.635 7.806 4.080 B
3.122 0.040 4.080 B
4.970 2.512 0.564 Sm
2.491 2.512 2.853 Sm
0.004 5.334 2.853 Sm
2.483 5.334 0.564 Sm
```

Crystal system: orthorhombic
Polymorph energy (0 for the lowest one) (eV per atom): 0.000
Symmetry: No. 29
Magnetic moment (μB per cell): 0.00

=====

A geometry-optimized Rb2PtSeS2 structure. Source: OQMD, functional PBE-GGA.

Cell and atoms, written as POSCAR:
```
Rb2PtSeS2
1.0
6.374 -3.448 0.000
6.374 3.448 0.000
-4.063 0.000 8.563
Rb Se S Pt
4 2 4 2
Cartesian
9.080 0.000 5.359 Rb
5.540 0.000 7.147 Rb
3.144 0.000 1.416 Rb
-0.396 0.000 3.204 Rb
2.653 0.000 5.043 Se
6.031 0.000 3.520 Se
9.139 0.000 2.054 S
-0.454 0.000 6.510 S
6.374 1.820 0.000 S
6.374 -1.820 0.000 S
6.997 0.000 1.279 Pt
1.687 0.000 7.284 Pt
```

Crystal system: monoclinic
Symmetry: No. 12
Magnetic moment (μB per cell): 0.00

=====

A geometry-optimized Pr2Ag2SbAsP2 structure. Source: OQMD, functional PBE-GGA.

Cell and atoms, written as POSCAR:
```
Pr2Ag2SbAsP2
1.0
4.087 0.000 0.000
0.000 4.087 0.000
0.000 0.000 10.669
Pr Sb Ag P As
2 1 2 2 1
Cartesian
2.044 0.000 2.598 Pr
0.000 2.044 8.071 Pr
2.044 2.044 0.000 Sb
0.000 0.000 5.334 Ag
2.044 2.044 5.334 Ag
0.000 2.044 3.537 P
2.044 0.000 7.132 P
0.000 0.000 0.000 As
```

Crystal system: tetragonal
Symmetry: No. 115
Magnetic moment (μB per cell): 0.00

=====

A geometry-optimized Pm3Tl structure. Source: OQMD, functional PBE-GGA.

Cell and atoms, written as POSCAR:
```
Pm3Tl
1.0
-0.754 4.712 -1.306
-4.701 -0.335 1.505
1.344 1.470 4.528
Pm Tl
3 1
Cartesian
-1.679 0.567 3.015 Pm
-2.728 2.188 0.099 Pm
0.296 3.092 1.613 Pm
0.000 0.000 0.000 Tl
```

Crystal system: cubic
Symmetry: No. 221
Magnetic moment (μB per cell): 0.24

=====

A geometry-optimized Tb2YIn3Pt2 structure. Source: OQMD, functional PBE-GGA.

Cell and atoms, written as POSCAR:
```
Tb2YIn3Pt2
1.0
3.646 0.000 0.000
0.000 6.698 3.855
0.000 -6.698 3.855
In Pt Tb Y
3 2 2 1
Cartesian
1.823 -1.540 6.823 In
1.823 1.540 6.823 In
1.823 0.000 1.776 In
1.823 2.236 3.854 Pt
1.823 -2.236 3.854 Pt
0.000 -2.819 1.623 Tb
0.000 2.819 1.623 Tb
0.000 0.000 4.469 Y
```

Crystal system: orthorhombic
Symmetry: No. 38
Magnetic moment (μB per cell): 0.01

=====

A geometry-optimized Pm3Sm4Gd structure. Source: OQMD, functional PBE-GGA.

Cell and atoms, written as POSCAR:
```
Pm3Sm4Gd
1.0
6.521 0.000 0.000
0.000 6.521 0.000
0.000 0.000 6.521
Gd Pm Sm
1 3 4
Cartesian
0.000 0.000 0.000 Gd
0.000 3.260 3.260 Pm
3.260 0.000 3.260 Pm
3.260 3.260 0.000 Pm
0.000 3.260 0.000 Sm
3.260 3.260 3.260 Sm
3.260 0.000 0.000 Sm
0.000 0.000 3.260 Sm
```

Crystal system: cubic
Symmetry: No. 221
Magnetic moment (μB per cell): 2.91
Formation energy (meV per atom): 667

=====

A geometry-optimized PrCuGe3 structure. Source: OQMD, functional PBE-GGA.

Cell and atoms, written as POSCAR:
```
PrCuGe3
1.0
-2.289 2.289 4.738
2.289 -2.289 4.738
2.289 2.289 -4.738
Cu Ge Pr
1 3 1
Cartesian
0.000 0.000 6.237 Cu
0.000 0.000 3.816 Ge
2.289 0.000 2.492 Ge
0.000 2.289 2.492 Ge
0.000 0.000 0.094 Pr
```

Crystal system: tetragonal
Symmetry: No. 107
Magnetic moment (μB per cell): 0.00

=====

A geometry-optimized Sc4CoCuN2 structure. Source: OQMD, functional PBE-GGA.

Cell and atoms, written as POSCAR:
```
Sc4CoCuN2
1.0
-1.261 -0.601 2.850
-0.949 -1.656 -2.536
9.458 -8.946 2.300
Sc N Co Cu
4 2 1 1
Cartesian
6.926 -8.598 3.020 Sc
3.199 -3.026 0.778 Sc
6.259 -5.920 1.522 Sc
0.218 -2.253 1.389 Sc
1.258 -3.490 -0.179 N
6.093 -8.064 0.997 N
0.000 0.000 0.000 Co
3.572 -5.425 2.205 Cu
```

Crystal system: hexagonal
Symmetry: No. 187
Magnetic moment (μB per cell): 0.29

=====

A geometry-optimized Li4AlTlPd2 structure. Source: OQMD, functional PBE-GGA.

Cell and atoms, written as POSCAR:
```
Li4AlTlPd2
1.0
-2.428 -1.633 -3.282
-2.773 -1.756 2.925
-3.450 5.304 -0.086
Pd Tl Li Al
2 1 4 1
Cartesian
-2.190 0.685 -1.665 Pd
-3.860 2.925 1.400 Pd
-2.600 -1.694 -0.178 Tl
-4.325 0.958 -0.222 Li
-2.288 0.508 1.440 Li
0.000 0.000 0.000 Li
-3.762 3.102 -1.705 Li
-1.725 2.652 -0.043 Al
```

Crystal system: tetragonal
Symmetry: No. 115

=====

A geometry-optimized GdHoAl6 structure. Source: OQMD, functional PBE-GGA.

Cell and atoms, written as POSCAR:
```
GdHoAl6
1.0
6.295 0.000 0.000
-3.148 5.452 0.000
0.000 0.000 4.607
Al Gd Ho
6 1 1
Cartesian
4.527 1.021 2.303 Al
1.755 2.621 0.000 Al
3.148 3.411 2.303 Al
4.540 2.621 0.000 Al
3.148 0.210 0.000 Al
1.768 1.021 2.303 Al
0.000 0.000 0.000 Gd
0.000 3.635 2.303 Ho
```

Crystal system: hexagonal
Symmetry: No. 187
Magnetic moment (μB per cell): 0.00

=====

| no. | raw total energy (eV for the cell shown) |
| --- | --- |
| 1 | -30.50 |
| 2 | -30.08 |
| 3 | -129.16 |
| 4 | -46.28 |
| 5 | -40.77 |
| 6 | -17.44 |
| 7 | -43.11 |
| 8 | -32.40 |
| 9 | -24.14 |
| 10 | -59.82 |
| 11 | -27.79 |
| 12 | -35.17 |